Below is an optimized crystal structure of KLi2Zr, with properties calculated at the GGA-PBEsol level.

E above lowest polymorph = 1.706 eV/f.u.
size of the total moment = 2.21 μB/f.u.
formation energy = 0.85 eV per atom
crystal system = tetragonal

Cell: 4.3425 4.3425 11.2764 Å, 90.00 90.00 90.00°
Closest atoms and distances in Å follow each position.
Space group I-4m2 (No. 119)
Inequivalent atoms, fractional coordinates:
K  0.0000  0.0000  0.0000  4 Li 3.07
Li  0.0000  0.0000  0.5000  4 K 3.07
Li  0.0000  0.5000  0.2500  4 Zr 3.07
Zr  0.0000  0.5000  0.7500  4 Li 3.07